RbZnICl2 (PBE-GGA, optimized geometry); ΔE_f (raw) = -1.311 eV/atom; relative energy among the computed polymorphs = 0.0000 eV/atom
1.0
8.016 0.000 0.000
0.000 5.957 0.000
-2.039 0.000 8.016
Rb Zn I Cl
2 2 2 4
Cartesian
1.173 1.489 2.563
4.804 4.468 5.453
1.607 1.489 6.816
4.370 4.468 1.199
-0.842 1.489 6.072
6.819 4.468 1.944
2.740 4.468 2.736
1.791 4.468 7.027
4.186 1.489 0.988
3.236 1.489 5.280